# CsTmCdTe3 GGA-PBE relaxed
data_CsTmCdTe3
_chemical_formula_sum 'Cs2 Tm2 Cd2 Te6'
_cell_length_a 10.130
_cell_length_b 4.525
_cell_length_c 11.198
_cell_angle_alpha 90.00
_cell_angle_beta 111.52
_cell_angle_gamma 90.00
_symmetry_space_group_name_H-M 'P 1 21/m 1'
_symmetry_Int_Tables_number 11
_symmetry_space_group_name_Hall '-P 2yb'
loop_
_atom_site_label
_atom_site_fract_x
_atom_site_fract_y
_atom_site_fract_z
Cs1 0.220 0.250 0.248
Tm1 0.331 0.750 0.867
Cd1 0.081 0.250 0.611
Te1 0.123 0.250 0.872
Te2 0.226 0.750 0.554
Te3 0.474 0.750 0.154
# magnetic moment	0.000	μB per atom
# VASP energy	-3.672	eV/atom
# ΔE_f (raw)	-1.06	eV/atom

# SiAsPd2Ru GGA-PBE relaxed
data_SiAsPd2Ru
_chemical_formula_sum 'Si1 As1 Pd2 Ru1'
_cell_length_a 4.591
_cell_length_b 4.591
_cell_length_c 4.723
_cell_angle_alpha 90.00
_cell_angle_beta 90.00
_cell_angle_gamma 90.00
_symmetry_space_group_name_H-M 'P 4/m m m'
_symmetry_Int_Tables_number 123
_symmetry_space_group_name_Hall '-P 4 2'
loop_
_atom_site_label
_atom_site_fract_x
_atom_site_fract_y
_atom_site_fract_z
Si1 0.000 0.000 0.000
As1 0.000 0.000 0.500
Pd1 0.000 0.500 0.500
Ru1 0.500 0.500 0.000
# magnetic moment	0.500	μB per atom
# VASP energy	-4.991	eV/atom
# ΔE_f (raw)	0.96	eV/atom